[1]
CrCdPd2I: optimized geometry, PBE-GGA.

Cell: 5.0347 5.0673 5.0347 Å, 90.00 90.00 90.00°
Last column: nearest neighbours and their distance in Å.
Sites, in units of the cell vectors:
I  0.0000  0.0000  0.0000  4 Pd 2.52, 2 Cr 2.53
Cr  0.0000  0.5000  0.0000  2 I 2.53
Pd  0.0000  0.0000  0.5000  2 I 2.52
Pd  0.5000  0.0000  0.0000  2 I 2.52
Cd  0.5000  0.5000  0.5000  4 Cr 3.56, 8 Pd 3.57

As for the total energy: -3.786 eV/atom. Its uncorrected formation energy is 0.7088 eV/atom. Its volume is 128.4 Å³ per cell.

[2]
Rb2CrCdI6: optimized geometry, PBE-GGA.

Cell: 8.3092 8.3092 8.3080 Å, 60.00 60.00 90.00°
Last column: nearest neighbours and their distance in Å.
Sites, in units of the cell vectors:
I  0.2578  0.2578  0.4845  1 Cr 2.85, 1 Cd 3.03
I  0.7422  0.7422  0.5155  1 Cr 2.85, 1 Cd 3.03
I  0.2586  0.2586  0.0000  1 Cr 2.84, 1 Cd 3.04
I  0.7414  0.7414  0.0000  1 Cr 2.84, 1 Cd 3.04
I  0.7414  0.2586  0.0000  1 Cr 2.84, 1 Cd 3.04
I  0.2586  0.7414  0.0000  1 Cr 2.84, 1 Cd 3.04
Cr  0.5000  0.5000  0.0000  6 I 2.84-2.85
Rb  0.7500  0.2500  0.5000  12 I 4.16
Rb  0.2500  0.7500  0.5000  12 I 4.16
Cd  0.0000  0.0000  0.0000  6 I 3.03-3.04

As for the total energy: -2.981 eV/atom. Its uncorrected formation energy is -0.8041 eV/atom. Its volume is 405.5 Å³ per cell.

Which value of volume does entry 1 give?
128.4 Å³ per cell